DFT (GGA-PBEsol) results for BaLa2ZnO5 after structural relaxation.

Cell: 6.8427 7.5330 6.8427 Å, 62.99 90.00 117.01°
With the nearest neighbours (Å) after each atom.
Fractional coordinates of all 18 atoms:
O: 0.7209 0.7339 0.4870  1 Zn 1.96
O: 0.2209 0.7339 0.2791  1 Zn 1.96
O: 0.2791 0.2661 0.5130  1 Zn 1.96
O: 0.9870 0.2661 0.2209  1 Zn 1.96
O: 0.0000 0.0000 0.0000  4 La 2.53
O: 0.4870 0.2661 0.0130  1 Zn 1.96
O: 0.7791 0.2661 0.7209  1 Zn 1.96
O: 0.0130 0.7339 0.7791  1 Zn 1.96
O: 0.5130 0.7339 0.9870  1 Zn 1.96
O: 0.5000 0.0000 0.5000  4 La 2.53
Ba: 0.7500 0.5000 0.2500  10 O 2.89-2.95
Ba: 0.2500 0.5000 0.7500  10 O 2.89-2.95
La: 0.3260 0.0000 0.8260  4 O 2.32-2.53
La: 0.1740 0.0000 0.3260  4 O 2.32-2.53
La: 0.6740 0.0000 0.1740  4 O 2.32-2.53
La: 0.8260 0.0000 0.6740  4 O 2.32-2.53
Zn: 0.2500 0.5000 0.2500  4 O 1.96
Zn: 0.7500 0.5000 0.7500  4 O 1.96

Density (kg/m³): 6886
Formation energy without anion corrections (meV/atom): -2842